VASP calculation (SCAN) on MgAl2CoNi at its PBEsol-relaxed geometry.

- formation energy (eV per atom) = 0.320
- symmetry = P4/mmm, No. 123

Lattice parameters (Å, degrees): 4.3502 4.3502 4.5463 90.00 90.00 90.00
With the nearest neighbours (Å) after each atom.
Fractional positions:
Ni 0.0000 0.0000 0.0000  4 Al 2.18, 2 Mg 2.27
Mg 0.0000 0.0000 0.5000  2 Ni 2.27
Co 0.5000 0.5000 0.5000  4 Mg 3.08, 8 Al 3.15
Al 0.0000 0.5000 0.0000  2 Ni 2.18
Al 0.5000 0.0000 0.0000  2 Ni 2.18